Record 1
The following is a GGA-PBE calculation of a geometry-optimized MnCoPSe structure, from Alexandria via LeMat-Bulk.

```
data_MnCoPSe
_chemical_formula_sum 'Mn2 Co2 P2 Se2'
_cell_length_a 3.286
_cell_length_b 3.075
_cell_length_c 11.464
_cell_angle_alpha 90.00
_cell_angle_beta 90.00
_cell_angle_gamma 90.00
_space_group_name_H-M_alt 'A m m 2'
_space_group_IT_number 38
_space_group_name_Hall 'A 2 -2'
loop_
_atom_site_label
_atom_site_type_symbol
_atom_site_fract_x
_atom_site_fract_y
_atom_site_fract_z
Mn1 Mn 0.000 0.000 0.000
Co1 Co 0.500 0.000 0.804
P1 P 0.500 0.000 0.434
Se1 Se 0.000 0.000 0.668
```

Summary:
Total magnetic moment in μB per cell: 2.32
Theoretical density in g/cm³: 6.42
Volume in A^3/atom: 14.48
Energy relative to the elements, uncorrected in eV/atom: -0.26

Record 2
The following is a GGA-PBE calculation of a geometry-optimized MnCoPSe structure, from Alexandria via LeMat-Bulk.

```
data_MnCoPSe
_chemical_formula_sum 'Mn1 Co1 P1 Se1'
_cell_length_a 3.6180
_cell_length_b 3.6180
_cell_length_c 5.4280
_cell_angle_alpha 90.00
_cell_angle_beta 90.00
_cell_angle_gamma 120.00
_space_group_name_H-M_alt 'P 3 m 1'
_space_group_IT_number 156
_space_group_name_Hall 'P 3 -2"'
loop_
_atom_site_label
_atom_site_type_symbol
_atom_site_fract_x
_atom_site_fract_y
_atom_site_fract_z
Mn1 Mn 0.0000 0.0000 0.0000
Co1 Co 0.6667 0.3333 0.6812
P1 P 0.3333 0.6667 0.7571
Se1 Se 0.6667 0.3333 0.2578
```

Summary:
Total magnetic moment in μB per cell: 2.15
Theoretical density in g/cm³: 6.04
Volume in A^3/atom: 15.38
Energy relative to the elements, uncorrected in eV/atom: -0.38

Record 3
The following is a GGA-PBE calculation of a geometry-optimized MnCoPSe structure, from Alexandria via LeMat-Bulk.

```
data_MnCoPSe
_chemical_formula_sum 'Mn1 Co1 P1 Se1'
_cell_length_a 3.245
_cell_length_b 3.245
_cell_length_c 7.060
_cell_angle_alpha 78.00
_cell_angle_beta 77.01
_cell_angle_gamma 90.00
_space_group_name_H-M_alt 'P 1'
_space_group_IT_number 1
_space_group_name_Hall 'P 1'
loop_
_atom_site_label
_atom_site_type_symbol
_atom_site_fract_x
_atom_site_fract_y
_atom_site_fract_z
Mn1 Mn 0.000 0.000 0.000
Co1 Co 0.388 0.396 0.230
P1 P 0.547 0.543 0.904
Se1 Se 0.824 0.838 0.359
```

Summary:
Total magnetic moment in μB per cell: 1.68
Theoretical density in g/cm³: 5.25
Volume in A^3/atom: 17.69
Energy relative to the elements, uncorrected in eV/atom: -0.19

Record 4
The following is a GGA-PBE calculation of a geometry-optimized MnCo2SnP structure, from Alexandria via LeMat-Bulk.

```
data_MnCo2SnP
_chemical_formula_sum 'Mn1 Co2 Sn1 P1'
_cell_length_a 4.153
_cell_length_b 4.153
_cell_length_c 4.767
_cell_angle_alpha 90.00
_cell_angle_beta 90.00
_cell_angle_gamma 90.00
_space_group_name_H-M_alt 'P 4/m m m'
_space_group_IT_number 123
_space_group_name_Hall '-P 4 2'
loop_
_atom_site_label
_atom_site_type_symbol
_atom_site_fract_x
_atom_site_fract_y
_atom_site_fract_z
Mn1 Mn 0.000 0.000 0.000
Co1 Co 0.000 0.500 0.000
Sn1 Sn 0.000 0.000 0.500
P1 P 0.500 0.500 0.500
```

Summary:
Total magnetic moment in μB per cell: 0.06
ΔE_f in eV/atom: 1.18
Theoretical density in g/cm³: 6.51
Volume in A^3/atom: 16.44

Record 5
The following is a GGA-PBE calculation of a geometry-optimized SrMnCoP2 structure, from Alexandria via LeMat-Bulk.

```
data_SrMnCoP2
_chemical_formula_sum 'Sr2 Mn2 Co2 P4'
_cell_length_a 3.823
_cell_length_b 3.823
_cell_length_c 11.478
_cell_angle_alpha 90.00
_cell_angle_beta 90.00
_cell_angle_gamma 90.00
_space_group_name_H-M_alt 'I -4 m 2'
_space_group_IT_number 119
_space_group_name_Hall 'I -4 -2'
loop_
_atom_site_label
_atom_site_type_symbol
_atom_site_fract_x
_atom_site_fract_y
_atom_site_fract_z
Sr1 Sr 0.000 0.000 0.000
Mn1 Mn 0.000 0.500 0.750
Co1 Co 0.000 0.500 0.250
P1 P 0.000 0.000 0.347
```

Summary:
Total magnetic moment in μB per cell: 0.00
ΔE_f in eV/atom: -0.84
Theoretical density in g/cm³: 5.21
Volume in A^3/atom: 16.78

Record 6
The following is a GGA-PBE calculation of a geometry-optimized TaMnCoP2 structure, from Alexandria via LeMat-Bulk.

```
data_TaMnCoP2
_chemical_formula_sum 'Ta1 Mn1 Co1 P2'
_cell_length_a 4.109
_cell_length_b 4.109
_cell_length_c 4.697
_cell_angle_alpha 90.00
_cell_angle_beta 90.00
_cell_angle_gamma 90.00
_space_group_name_H-M_alt 'P 4/m m m'
_space_group_IT_number 123
_space_group_name_Hall '-P 4 2'
loop_
_atom_site_label
_atom_site_type_symbol
_atom_site_fract_x
_atom_site_fract_y
_atom_site_fract_z
Ta1 Ta 0.000 0.000 0.000
Mn1 Mn 0.500 0.500 0.000
Co1 Co 0.000 0.000 0.500
P1 P 0.000 0.500 0.500
```

Summary:
Total magnetic moment in μB per cell: 0.01
ΔE_f in eV/atom: 0.93
Theoretical density in g/cm³: 7.47
Volume in A^3/atom: 15.86